## KHfNF2 (PBE)

Data for a relaxed KHfNF2 crystal.

Output
* total DFT energy (no corrections): -0.1692 Ha/atom
* ΔE_f (raw): 0.021 eV/atom
* V: 86.8 Å³ per cell
* SG: P4/mmm

abc: 4.241 4.241 4.826
angles: 90.00 90.00 90.00
Fractional positions:
K 0.000 0.000 0.000
Hf 0.500 0.500 0.500
N 0.000 0.000 0.500
F 0.000 0.500 0.000
F 0.500 0.000 0.000


## K2NaHfF6 (PBE)

Data for a relaxed K2NaHfF6 crystal.

Output
* total DFT energy (no corrections): -0.2021 Ha/atom
* ΔE_f (raw): -3.031 eV/atom
* V: 376.9 Å³ per cell
* SG: R-3m

abc: 10.815 10.815 10.815
angles: 35.28 35.28 35.28
Fractional positions:
K 0.132 0.132 0.132
K 0.259 0.259 0.259
K 0.741 0.741 0.741
K 0.868 0.868 0.868
Na 0.391 0.391 0.391
Na 0.609 0.609 0.609
Hf 0.000 0.000 0.000
Hf 0.500 0.500 0.500
F 0.143 0.630 0.630
F 0.181 0.181 0.761
F 0.181 0.761 0.181
F 0.239 0.819 0.819
F 0.370 0.370 0.857
F 0.370 0.857 0.370
F 0.630 0.143 0.630
F 0.630 0.630 0.143
F 0.761 0.181 0.181
F 0.819 0.239 0.819
F 0.819 0.819 0.239
F 0.857 0.370 0.370


## KNa2HfF8 (PBE)

Data for a relaxed KNa2HfF8 crystal.

Output
* total DFT energy (no corrections): -0.1991 Ha/atom
* ΔE_f (raw): -3.030 eV/atom
* V: 194.8 Å³ per cell
* SG: P-1

abc: 4.809 5.371 7.543
angles: 89.98 89.84 89.31
Fractional positions:
K 0.000 0.000 0.000
Na 0.500 0.500 0.274
Na 0.500 0.500 0.726
Hf 0.000 0.000 0.500
F 0.208 0.462 0.000
F 0.230 0.847 0.694
F 0.232 0.848 0.305
F 0.244 0.303 0.500
F 0.756 0.697 0.500
F 0.768 0.152 0.695
F 0.770 0.153 0.306
F 0.792 0.538 0.000


## KNaHfF6 (PBE)

Data for a relaxed KNaHfF6 crystal.

Output
* total DFT energy (no corrections): -0.2235 Ha/atom
* ΔE_f (raw): -3.461 eV/atom
* V: 325.0 Å³ per cell
* SG: P-31c

abc: 5.906 5.906 10.759
angles: 90.00 90.00 120.00
Fractional positions:
K 0.000 0.000 0.000
K 0.000 0.000 0.500
Na 0.333 0.667 0.250
Na 0.667 0.333 0.750
Hf 0.333 0.667 0.750
Hf 0.667 0.333 0.250
F 0.041 0.393 0.646
F 0.041 0.648 0.854
F 0.352 0.393 0.854
F 0.352 0.959 0.646
F 0.393 0.041 0.146
F 0.393 0.352 0.354
F 0.607 0.648 0.646
F 0.607 0.959 0.854
F 0.648 0.041 0.354
F 0.648 0.607 0.146
F 0.959 0.352 0.146
F 0.959 0.607 0.354


## KHfNb2F (PBE)

Data for a relaxed KHfNb2F crystal.

Output
* total DFT energy (no corrections): -0.2303 Ha/atom
* ΔE_f (raw): 0.346 eV/atom
* V: 96.8 Å³ per cell
* SG: P4/mmm

abc: 4.471 4.471 4.844
angles: 90.00 90.00 90.00
Fractional positions:
K 0.000 0.000 0.000
Hf 0.500 0.500 0.000
Nb 0.000 0.500 0.500
Nb 0.500 0.000 0.500
F 0.000 0.000 0.500


## KHfO2F (PBE)

Data for a relaxed KHfO2F crystal.

Output
* total DFT energy (no corrections): -0.2813 Ha/atom
* ΔE_f (raw): -3.087 eV/atom
* V: 72.6 Å³ per cell
* SG: P4/mmm

abc: 4.114 4.114 4.290
angles: 90.00 90.00 90.00
Fractional positions:
K 0.000 0.000 0.000
Hf 0.500 0.500 0.500
O 0.000 0.500 0.500
O 0.500 0.000 0.500
F 0.500 0.500 0.000